[1]
CePuPbI: relaxed, PBE.

a b c (Å): 7.7881 7.7881 7.7881
angles (deg): 90.00 90.00 90.00
Space group F-43m (No. 216)
Inequivalent atoms, fractional coordinates:
Ce: 0.0000 0.0000 0.0000
Pu: 0.0000 0.0000 0.5000
Pb: 0.2500 0.2500 0.7500
I: 0.2500 0.2500 0.2500

Results
The crystal system is cubic. The formation energy from raw total energies is -0.416 eV per atom.

[2]
CeSmPbI: relaxed, PBE.

a b c (Å): 7.8393 7.8393 7.8393
angles (deg): 90.00 90.00 90.00
Space group F-43m (No. 216)
Inequivalent atoms, fractional coordinates:
Ce: 0.0000 0.0000 0.0000
Sm: 0.0000 0.0000 0.5000
Pb: 0.2500 0.2500 0.2500
I: 0.2500 0.2500 0.7500

Results
The crystal system is cubic. The formation energy from raw total energies is -0.587 eV per atom.